# 1
Entry from the Alexandria database: a relaxed Pm7DyY2 crystal (PBE).

a = 5.401 Å, b = 9.761 Å, c = 9.761 Å
α = 127.30°, β = 90.00°, γ = 90.00°
Sites, in units of the cell vectors:
Pm: 0.500 0.500 0.500
Pm: 0.500 0.712 0.928
Pm: 0.000 0.801 0.199
Pm: 0.500 0.072 0.288
Pm: 0.000 0.199 0.801
Pm: 0.500 0.928 0.712
Pm: 0.500 0.288 0.072
Y: 0.500 0.707 0.293
Y: 0.500 0.293 0.707
Dy: 0.000 0.000 0.000

The value obtained for the volume is 409.31 Å³/f.u. Its density is 5.498 g/cm3. Its crystal system is orthorhombic. The total magnetization comes out at 0.0 Bohr magnetons per cell. As for the final energy: -44.2 eV/cell. Its energy of formation from the pure elements is 0.655 eV/atom. Its symmetry is Cmmm, No. 65.

# 2
Entry from the Alexandria database: a relaxed CePuAgOs crystal (PBE).

a = 4.996 Å, b = 4.996 Å, c = 4.996 Å
α = 60.00°, β = 60.00°, γ = 60.00°
Sites, in units of the cell vectors:
Ag: 0.250 0.250 0.250
Pu: 0.000 0.000 0.000
Os: 0.750 0.750 0.750
Ce: 0.500 0.500 0.500

The value obtained for the volume is 88.16 Å³/f.u. Its density is 12.850 g/cm3. Its crystal system is cubic. The total magnetization comes out at 6.1 Bohr magnetons per cell. As for the final energy: -34.3 eV/cell. Its energy of formation from the pure elements is 0.006 eV/atom. Its symmetry is F-43m, No. 216.

# 3
Entry from the Alexandria database: a relaxed Th2TlCoCu crystal (PBE).

a = 4.208 Å, b = 8.042 Å, c = 8.967 Å
α = 129.53°, β = 90.00°, γ = 90.00°
Sites, in units of the cell vectors:
Th: 0.750 0.738 0.058
Th: 0.750 0.769 0.683
Th: 0.250 0.262 0.942
Th: 0.250 0.231 0.317
Co: 0.250 0.879 0.938
Co: 0.750 0.121 0.062
Cu: 0.750 0.505 0.255
Cu: 0.250 0.495 0.745
Tl: 0.750 0.192 0.597
Tl: 0.250 0.808 0.403

The value obtained for the volume is 117.01 Å³/f.u. Its density is 11.225 g/cm3. Its crystal system is monoclinic. The total magnetization comes out at 0.0 Bohr magnetons per cell. As for the final energy: -58.7 eV/cell. Its energy of formation from the pure elements is -0.183 eV/atom. Its symmetry is P2_1/m, No. 11.

Question: The lowest energy of formation from the pure elements belongs to which entry?
Answer: Th2TlCoCu

Question: Number 1 is which compound?
Answer: Pm7DyY2